Entry from Alexandria via LeMat-Bulk: a relaxed TmH2Pd crystal (GGA-PBE).

Calculated values
E, eV/atom: -4.6322
Spin magnetization, μB/cell: 0.000

```
TmH2Pd
1.0
3.859 0.000 0.000
1.929 3.342 0.000
1.929 1.114 4.028
H Tm Pd
2 1 1
Direct
0.860 0.860 0.420
0.140 0.140 0.580
0.500 0.500 0.500
0.000 0.000 0.000
```